Entry 1:
# KINO2

A relaxed KINO2 crystal (GGA-PBE, Alexandria via LeMat-Bulk).

Raw total energy (eV per atom): -2.7229
Uncorrected formation energy (eV per atom): 1.4550
Magnetization (μB/atom): 0.200
Mass density (g/cm3): 2.39
V (Å³ per cell): 147

Unit cell a=5.243 b=5.243 c=5.349 alpha=90.00 beta=90.00 gamma=90.00
Space group P4/mmm (No. 123)
Asymmetric unit:
K (0.000, 0.000, 0.000) (multiplicity 1)
I (0.500, 0.500, 0.500) (multiplicity 1)
N (0.000, 0.000, 0.500) (multiplicity 1)
O (0.000, 0.500, 0.000) (multiplicity 2)

***

Entry 2:
# KPbIN2

A relaxed KPbIN2 crystal (GGA-PBE, Alexandria via LeMat-Bulk).

Raw total energy (eV per atom): -3.6679
Uncorrected formation energy (eV per atom): 0.9334
Magnetization (μB/atom): 0.570
Mass density (g/cm3): 4.44
V (Å³ per cell): 150
Distance to the lowest polymorph of the same formula (meV per atom): 0

Unit cell a=4.715 b=4.715 c=6.757 alpha=90.00 beta=90.00 gamma=90.00
Space group P4/mmm (No. 123)
Asymmetric unit:
K (0.000, 0.000, 0.000) (multiplicity 1)
Pb (0.500, 0.500, 0.500) (multiplicity 1)
I (0.500, 0.500, 0.000) (multiplicity 1)
N (0.000, 0.500, 0.500) (multiplicity 2)

***

Which formula does entry 1 have?
KINO2